A plane-wave DFT calculation with PBE-GGA was carried out for a relaxed structure of KMnAsSe3.

Unit cell a=4.086 b=9.094 c=9.820 alpha=107.15 beta=90.00 gamma=90.00
Last column: magnetic moment on the atom in μB.
Element x y z (fractional)
K 0.250 0.200 0.238  0.00
K 0.750 0.800 0.762  0.00
Mn 0.250 0.096 0.614  4.23
Mn 0.750 0.904 0.386  4.23
As 0.250 0.661 0.116  0.02
As 0.750 0.339 0.884  0.02
Se 0.750 0.862 0.121  0.02
Se 0.250 0.138 0.879  0.02
Se 0.250 0.800 0.484  0.11
Se 0.750 0.200 0.516  0.11
Se 0.750 0.455 0.142  0.02
Se 0.250 0.545 0.858  0.02

Computed properties:
Uncorrected energy: -57.07 eV for the cell shown
Raw formation energy: -0.528 eV/atom
V: 29.06 A^3/atom